## NaMg2Ga2Au2 (PBE)

Data for crystalline NaMg2Ga2Au2 at its relaxed geometry.

It has space group R-3m (No. 166, hexagonal axes), with a = 4.5474 Å, b = 4.5474 Å, c = 23.8905 Å, α = 90.00°, β = 90.00° and γ = 120.00°. The inequivalent atoms are Na at (0.0000, 0.0000, 0.0000), Mg at (0.0000, 0.0000, 0.1312), Ga at (0.0000, 0.0000, 0.4052) and Au at (0.0000, 0.0000, 0.2473).

Its formation energy is -8.5 kcal/mol of atoms. As for the total energy: -59.1 eV for the cell shown. The calculated volume is 427.8 Å³ per cell.



## Tm12AlTl3 (PBE)

Data for crystalline Tm12AlTl3 at its relaxed geometry.

It has space group P4/mmm (No. 123), with a = 4.759 Å, b = 4.759 Å, c = 19.113 Å, α = 90.00°, β = 90.00° and γ = 90.00°. The inequivalent atoms are Tm at (0.000, 0.000, 0.000), Tm at (0.000, 0.000, 0.247), Tm at (0.000, 0.000, 0.500), Tm at (0.000, 0.500, 0.119), Tm at (0.000, 0.500, 0.374), Al at (0.500, 0.500, 0.000), Tl at (0.500, 0.500, 0.248) and Tl at (0.500, 0.500, 0.500).

Its formation energy is -3.9 kcal/mol of atoms. As for the total energy: -67.2 eV for the cell shown. The calculated volume is 432.9 Å³ per cell.



## SiPd6Au3 (PBE)

Data for crystalline SiPd6Au3 at its relaxed geometry.

It has space group P2_1/m (No. 11), with a = 8.922 Å, b = 3.975 Å, c = 9.075 Å, α = 90.00°, β = 95.49° and γ = 90.00°. The inequivalent atoms are Si at (0.100, 0.250, 0.356), Pd at (0.042, 0.750, 0.883), Pd at (0.081, 0.250, 0.634), Pd at (0.161, 0.750, 0.183), Pd at (0.230, 0.750, 0.483), Pd at (0.357, 0.250, 0.292), Pd at (0.456, 0.750, 0.097), Au at (0.245, 0.250, 0.984), Au at (0.330, 0.750, 0.784) and Au at (0.440, 0.250, 0.597).

As for the total energy: -98.2 eV for the cell shown. The calculated volume is 320.4 Å³ per cell. The calculation puts the uncorrected formation energy at -0.267 eV/atom.



Among the records above, which one has the highest calculated volume?
Tm12AlTl3



Among the records above, which one has the lowest calculated volume?
SiPd6Au3